# 1
The following is a DFT calculation (GGA-PBE) of an optimized crystal structure of Co3Mo.

Energy of formation from the pure elements in eV/atom: 0.004
Total magnetization in μB/f.u.: 0.72
Uncorrected energy in eV/f.u.: -32.2
Space group: No. 221

Cell lengths 3.583, 3.583, 3.583 Å; angles 90.00, 90.00, 90.00 degrees
Sites, in units of the cell vectors:
Co (0.500, 0.500, 0.000)
Co (0.000, 0.500, 0.500)
Co (0.500, 0.000, 0.500)
Mo (0.000, 0.000, 0.000)

# 2
The following is a DFT calculation (GGA-PBE) of an optimized crystal structure of TbY2Sn4Pb3.

Excess energy over the best structure of this formula in the dataset in meV per atom: 2
Total magnetization in μB/f.u.: 0.00
Uncorrected energy in eV/f.u.: -49.3
Space group: No. 65

Cell lengths 13.533, 13.533, 4.516 Å; angles 90.00, 90.00, 160.92 degrees
Sites, in units of the cell vectors:
Y (0.308, 0.692, 0.000)
Sn (0.402, 0.598, 0.500)
Tb (0.000, 0.000, 0.500)
Pb (0.099, 0.901, 0.000)
Y (0.692, 0.308, 0.000)
Pb (0.500, 0.500, 0.000)
Sn (0.789, 0.211, 0.500)
Pb (0.901, 0.099, 0.000)
Sn (0.211, 0.789, 0.500)
Sn (0.598, 0.402, 0.500)